(1)
VASP calculation (PBE-GGA) on crystalline LiHfCo2H at its relaxed geometry.

Summary:
Total DFT energy (no corrections) (eV per atom): -6.0303
Crystal system: tetragonal
Theoretical density (g/cm3): 9.51

Cell: 3.870 3.870 3.547 Å, 90.00 90.00 90.00°
Atoms (fractional coordinates):
Li 0.000 0.000 0.000
Hf 0.500 0.500 0.000
Co 0.000 0.500 0.500
Co 0.500 0.000 0.500
H 0.000 0.000 0.500

---

(2)
VASP calculation (PBE-GGA) on crystalline Hf2MnCoH at its relaxed geometry.

Summary:
Total DFT energy (no corrections) (eV per atom): -8.1900
Crystal system: tetragonal
Polymorph energy (0 for the lowest one) (kJ/mol of atoms): 0.0
Theoretical density (g/cm3): 12.08

Cell: 4.432 4.432 3.303 Å, 90.00 90.00 90.00°
Atoms (fractional coordinates):
Hf 0.000 0.500 0.000
Hf 0.500 0.000 0.000
Mn 0.000 0.000 0.500
Co 0.500 0.500 0.500
H 0.500 0.500 0.000

---

(3)
VASP calculation (PBE-GGA) on crystalline Hf2MnCoH at its relaxed geometry.

Summary:
Total DFT energy (no corrections) (eV per atom): -8.1802
Crystal system: tetragonal
Polymorph energy (0 for the lowest one) (kJ/mol of atoms): 0.9
Theoretical density (g/cm3): 11.97

Cell: 4.471 4.471 3.275 Å, 90.00 90.00 90.00°
Atoms (fractional coordinates):
Hf 0.000 0.500 0.000
Hf 0.500 0.000 0.000
Mn 0.000 0.000 0.500
Co 0.500 0.500 0.500
H 0.000 0.000 0.000

---

(4)
VASP calculation (PBE-GGA) on crystalline Hf2CoMoH at its relaxed geometry.

Summary:
Total DFT energy (no corrections) (eV per atom): -8.5015
Crystal system: tetragonal
Polymorph energy (0 for the lowest one) (kJ/mol of atoms): 0.0
Theoretical density (g/cm3): 12.19

Cell: 4.572 4.572 3.343 Å, 90.00 90.00 90.00°
Atoms (fractional coordinates):
Hf 0.000 0.500 0.000
Hf 0.500 0.000 0.000
Co 0.000 0.000 0.500
Mo 0.500 0.500 0.500
H 0.000 0.000 0.000